1.
Below is a PBEsol-optimized structure of Nb3GeTe6, with properties calculated at the SCAN level.

a = 6.425 Å, b = 11.498 Å, c = 13.887 Å
α = 90.00°, β = 90.00°, γ = 90.00°
Atoms (fractional coordinates):
Nb 0.036 0.686 0.750
Te 0.364 0.993 0.119
Te 0.856 0.818 0.114
Te 0.286 0.342 0.385
Nb 0.825 0.167 0.750
Te 0.364 0.993 0.381
Te 0.636 0.007 0.619
Te 0.786 0.158 0.385
Ge 0.574 0.425 0.250
Te 0.644 0.318 0.614
Te 0.856 0.818 0.386
Te 0.286 0.342 0.115
Nb 0.696 0.966 0.250
Te 0.214 0.842 0.615
Ge 0.074 0.075 0.250
Te 0.356 0.682 0.386
Nb 0.304 0.034 0.750
Nb 0.325 0.333 0.750
Te 0.714 0.658 0.885
Ge 0.426 0.575 0.750
Te 0.644 0.318 0.886
Te 0.136 0.493 0.619
Te 0.714 0.658 0.615
Te 0.864 0.507 0.381
Nb 0.175 0.833 0.250
Nb 0.804 0.466 0.750
Te 0.136 0.493 0.881
Nb 0.196 0.534 0.250
Ge 0.926 0.925 0.750
Nb 0.964 0.314 0.250
Te 0.144 0.182 0.886
Te 0.214 0.842 0.885
Te 0.356 0.682 0.114
Te 0.144 0.182 0.614
Te 0.786 0.158 0.115
Nb 0.536 0.814 0.750
Nb 0.675 0.667 0.250
Nb 0.464 0.186 0.250
Te 0.864 0.507 0.119
Te 0.636 0.007 0.881

Computed properties:
Space-group type: No. 62
Uncorrected formation energy (eV/atom): -0.501



2.
Below is a PBEsol-optimized structure of NaCdSi3, with properties calculated at the SCAN level.

a = 4.884 Å, b = 4.884 Å, c = 4.884 Å
α = 90.00°, β = 90.00°, γ = 90.00°
Atoms (fractional coordinates):
Si 0.000 0.500 0.000
Cd 0.500 0.500 0.500
Si 0.000 0.000 0.500
Si 0.500 0.000 0.000
Na 0.000 0.000 0.000

Computed properties:
Space-group type: No. 221
Uncorrected formation energy (eV/atom): 1.580



3.
Below is a PBEsol-optimized structure of Pd3SeBr, with properties calculated at the SCAN level.

a = 4.680 Å, b = 4.680 Å, c = 4.680 Å
α = 90.00°, β = 90.00°, γ = 90.00°
Atoms (fractional coordinates):
Se 0.500 0.500 0.500
Pd 0.000 0.000 0.500
Pd 0.500 0.000 0.000
Br 0.000 0.000 0.000
Pd 0.000 0.500 0.000

Computed properties:
Space-group type: No. 221
Uncorrected formation energy (eV/atom): 0.657



4.
Below is a PBEsol-optimized structure of CrCo2Ru, with properties calculated at the SCAN level.

a = 3.504 Å, b = 3.504 Å, c = 3.599 Å
α = 90.00°, β = 90.00°, γ = 90.00°
Site moments in Bohr magnetons follow the coordinates.
Atoms (fractional coordinates):
Co 0.500 0.000 0.000  -1.53
Cr 0.500 0.500 0.500  2.49
Ru 0.000 0.000 0.500  -0.97
Co 0.000 0.500 0.000  -1.53

Computed properties:
Space-group type: No. 123
Formation energy from the elements (eV per atom): 0.091



5.
Below is a PBEsol-optimized structure of Co2Ge, with properties calculated at the SCAN level.

a = 3.944 Å, b = 3.944 Å, c = 4.927 Å
α = 90.00°, β = 90.00°, γ = 120.00°
Site moments in Bohr magnetons follow the coordinates.
Atoms (fractional coordinates):
Ge 0.333 0.667 0.250  -0.03
Co 0.333 0.667 0.750  -0.10
Ge 0.667 0.333 0.750  -0.03
Co 0.000 0.000 0.000  1.27
Co 0.667 0.333 0.250  -0.10
Co 0.000 0.000 0.500  1.27

Computed properties:
Space-group type: No. 194
Formation energy from the elements (eV per atom): 0.016



6.
Below is a PBEsol-optimized structure of MoPt2W, with properties calculated at the SCAN level.

a = 2.724 Å, b = 4.460 Å, c = 4.918 Å
α = 90.00°, β = 90.00°, γ = 90.00°
Atoms (fractional coordinates):
Pt 0.000 0.000 0.040
Pt 0.000 0.500 0.712
W 0.500 0.000 0.538
Mo 0.500 0.500 0.210

Computed properties:
Space-group type: No. 25
Formation energy from the elements (eV per atom): -0.387



| no. | energy (eV per atom) | DOS at the Fermi energy (states/eV/f.u.) |
| --- | --- | --- |
| 1 | -34.699 | 4.84 |
| 2 | -11.356 | 2.56 |
| 3 | -26.915 | 3.56 |
| 4 | -21.864 | 2.76 |
| 5 | -17.883 | 2.71 |
| 6 | -61.627 | 1.95 |